VASP calculation (PBE-GGA) on a relaxed ZrReS crystal.

a = 3.485 Å, b = 3.485 Å, c = 9.197 Å
α = 90.00°, β = 90.00°, γ = 90.00°
Positions (direct):
1 Zr 0.250 0.250 0.122
2 Zr 0.750 0.750 0.878
3 Re 0.250 0.250 0.462
4 Re 0.750 0.750 0.538
5 S 0.250 0.250 0.817
6 S 0.750 0.750 0.183

Output
E_form (uncorrected), eV per atom: -0.2694
V, Å³/cell: 111.7
Spin magnetization, μB/cell: 0.000
Calculated density, g cm⁻³: 9.2